# Nb2GeAs2 | OQMD | GGA-PBE | optimized geometry
# ρ: 7.1 g/cm³
# Energy above the most stable polymorph in this dataset: 45.6 meV/atom
# Volume: 192.1 Å³/cell
# Energy: -6.8763 eV/atom
data_Nb2GeAs2
_symmetry_space_group_name_H-M 'I 4/m m m'
_symmetry_Int_Tables_number 139
_symmetry_space_group_name_Hall '-I 4 2'
_cell_length_a 4.784
_cell_length_b 4.784
_cell_length_c 8.396
_cell_angle_alpha 90.00
_cell_angle_beta 90.00
_cell_angle_gamma 90.00
loop_
_atom_site_label
_atom_site_type_symbol
_atom_site_fract_x
_atom_site_fract_y
_atom_site_fract_z
Nb1 Nb 0.000 0.500 0.250
Ge1 Ge 0.000 0.000 0.000
As1 As 0.000 0.000 0.359